DFT (GGA-PBEsol) results for crystalline CoReNi2 at its relaxed geometry.

Cell lengths 2.5535, 2.5535, 7.0773 Å; angles 90.00, 90.00, 90.00 degrees
Last column: nearest neighbours and their distance in Å.
Fractional positions:
1 Co 0.5000 0.5000 0.5000  8 Ni 2.46, 4 Co 2.55
2 Ni 0.0000 0.0000 0.7368  4 Co 2.46, 4 Ni 2.55, 4 Re 2.59
3 Ni 0.0000 0.0000 0.2632  4 Co 2.46, 4 Ni 2.55, 4 Re 2.59
4 Re 0.5000 0.5000 0.0000  4 Re 2.55, 8 Ni 2.59

Summary:
As for the formation energy: 80 meV per atom. The total energy is -8.27 eV/atom.